Entry 1:
The following is a DFT calculation (PBE-GGA) of a geometry-optimized Ta2PCl structure.

Properties
Raw formation energy in eV per formula unit: -0.62
Fermi-level density of states in states/eV per atom: 0.53
Total magnetic moment in Bohr magnetons per cell: 0.0
ΔE to the lowest computed polymorph in meV per atom: 166.9

a b c (Å): 4.7324 4.7324 5.4069
angles (deg): 72.24 72.24 39.31
Element x y z (fractional)
Ta  0.2397  0.2397  0.2291
Cl  0.5159  0.5159  0.5032
P  0.7298  0.7298  0.8831
Ta  0.0146  0.0146  0.8846

***

Entry 2:
The following is a DFT calculation (PBE-GGA) of a geometry-optimized ZnCu2SnSe3S structure.

Properties
Raw formation energy in eV per formula unit: -3.28
Fermi-level density of states in states/eV per atom: 0.09
Total magnetic moment in Bohr magnetons per cell: 0.0
ΔE to the lowest computed polymorph in meV per atom: 0.0

a b c (Å): 5.6850 5.6928 6.9553
angles (deg): 114.05 113.91 90.14
Element x y z (fractional)
S  0.3710  0.3645  0.2579
Sn  0.4964  0.4937  0.0022
Zn  0.2548  0.7361  0.4948
Se  0.0987  0.6281  0.7407
Cu  0.0204  0.0176  0.0145
Se  0.8893  0.8971  0.2626
Cu  0.7277  0.2554  0.4871
Se  0.6416  0.1075  0.7402

***

Entry 3:
The following is a DFT calculation (PBE-GGA) of a geometry-optimized Li6Mg3Tl structure.

Properties
Fermi-level density of states in states/eV per atom: 0.39
Total magnetic moment in Bohr magnetons per cell: 0.0
ΔE to the lowest computed polymorph in meV per atom: 0.0

a b c (Å): 4.8614 8.3508 10.2620
angles (deg): 107.93 90.00 90.00
Element x y z (fractional)
Li  0.2500  0.1447  0.2037
Tl  0.2500  0.9463  0.6150
Li  0.7500  0.7669  0.5013
Li  0.7500  0.3471  0.2951
Mg  0.2500  0.3465  0.8021
Li  0.2500  0.8591  0.3183
Li  0.2500  0.6529  0.7049
Li  0.2500  0.4450  0.1085
Li  0.7500  0.1409  0.6817
Mg  0.2500  0.7426  0.0099
Li  0.2500  0.2331  0.4987
Mg  0.2500  0.5504  0.4082
Li  0.7500  0.8553  0.7963
Li  0.7500  0.5550  0.8915
Tl  0.7500  0.0537  0.3850
Mg  0.7500  0.4496  0.5918
Li  0.2500  0.0449  0.9059
Mg  0.7500  0.2574  0.9901
Li  0.7500  0.9551  0.0941
Mg  0.7500  0.6535  0.1979